Record 1
Sm4Mg5Zr after structural relaxation, computed with PBE-GGA.

Unit cell a=3.7544 b=3.7544 c=19.1823 alpha=90.00 beta=90.00 gamma=90.00
Element x y z (fractional)
Sm: 0.0000 0.0000 0.3952
Mg: 0.5000 0.5000 0.9152
Mg: 0.5000 0.5000 0.2920
Sm: 0.0000 0.0000 0.8122
Mg: 0.5000 0.5000 0.0848
Zr: 0.0000 0.0000 0.0000
Sm: 0.0000 0.0000 0.6048
Mg: 0.5000 0.5000 0.5000
Sm: 0.0000 0.0000 0.1878
Mg: 0.5000 0.5000 0.7080

Properties
Total magnetic moment (Bohr magnetons per cell): 0.0
Calculated formation energy (meV per atom): -44


Record 2
SrHfZnOs2 after structural relaxation, computed with PBE-GGA.

Unit cell a=4.8609 b=5.9629 c=4.8609 alpha=90.00 beta=90.00 gamma=90.00
Element x y z (fractional)
Os: 0.0000 0.0000 0.5000
Os: 0.5000 0.0000 0.0000
Hf: 0.0000 0.0000 0.0000
Zn: 0.5000 0.5000 0.5000
Sr: 0.0000 0.5000 0.0000

Properties
Total magnetic moment (Bohr magnetons per cell): 1.1
Calculated formation energy (meV per atom): 1668


Record 3
BaZn3In3 after structural relaxation, computed with PBE-GGA.

Unit cell a=4.7315 b=9.3717 c=9.4207 alpha=119.87 beta=90.00 gamma=90.00
Element x y z (fractional)
In: 0.2500 0.0504 0.2721
In: 0.7500 0.2711 0.2220
Ba: 0.7500 0.3340 0.6679
Zn: 0.2500 0.4046 0.4648
Zn: 0.7500 0.5954 0.5352
In: 0.2500 0.2202 0.9493
Zn: 0.7500 0.9405 0.4044
In: 0.7500 0.9496 0.7279
In: 0.7500 0.7798 0.0507
In: 0.2500 0.7289 0.7780
Ba: 0.2500 0.6660 0.3321
Zn: 0.2500 0.5368 0.9407
Zn: 0.2500 0.0595 0.5956
Zn: 0.7500 0.4632 0.0593

Properties
Total magnetic moment (Bohr magnetons per cell): 0.0
Calculated formation energy (meV per atom): -49


Record 4
Nb2Co2Hg after structural relaxation, computed with PBE-GGA.

Unit cell a=4.2521 b=4.2521 c=5.5840 alpha=67.62 beta=67.62 gamma=90.00
Element x y z (fractional)
Co: 0.3817 0.3817 0.2366
Nb: 0.2500 0.7500 0.5000
Co: 0.6183 0.6183 0.7634
Hg: 0.0000 0.0000 0.0000
Nb: 0.7500 0.2500 0.5000

Properties
Total magnetic moment (Bohr magnetons per cell): 0.0
Calculated formation energy (meV per atom): 151


Record 5
La2Tb4Nd after structural relaxation, computed with PBE-GGA.

Unit cell a=6.9395 b=10.5583 c=7.0841 alpha=90.00 beta=106.54 gamma=90.00
Element x y z (fractional)
La: 0.0000 0.0000 0.0000
La: 0.0000 0.5000 0.5000
Tb: 0.7303 0.2206 0.1886
Tb: 0.7273 0.7150 0.6896
La: 0.5000 0.0000 0.5000
Nd: 0.5000 0.5000 0.0000
Tb: 0.7293 0.7796 0.1885
Tb: 0.7283 0.2847 0.6898
Tb: 0.2727 0.2850 0.3104
Tb: 0.2697 0.7794 0.8114
Tb: 0.2707 0.2204 0.8115
Nd: 0.0000 0.5000 0.0000
Tb: 0.2717 0.7153 0.3102
La: 0.0000 0.0000 0.5000

Properties
Total magnetic moment (Bohr magnetons per cell): 0.0
Calculated formation energy (meV per atom): 208


Record 6
LaRe2P after structural relaxation, computed with PBE-GGA.

Unit cell a=4.1266 b=3.3384 c=5.7807 alpha=89.80 beta=90.00 gamma=90.00
Element x y z (fractional)
Re: 0.0000 0.8791 0.0618
P: 0.5000 0.8736 0.7976
La: 0.0000 0.3757 0.5440
Re: 0.5000 0.3716 0.0966

Properties
Total magnetic moment (Bohr magnetons per cell): 0.0
Calculated formation energy (meV per atom): -130